No. 1
## ScAl2Cl (PBE)

Data for a geometry-optimized ScAl2Cl structure.

The structure belongs to space group Pmmm (No. 47); the cell edges are 3.332, 4.936 and 5.079 Å and the angles 90.00°, 90.00° and 90.00°. Symmetry generates all atoms from Sc at (0.000, 0.000, 0.000), Al at (0.500, 0.500, 0.242) and Cl at (0.000, 0.000, 0.500).

The value obtained for the uncorrected formation energy is -7.54 kcal/mol of atoms. For the energy above the most stable polymorph in this dataset, the calculation gives 0.202 eV per atom.



No. 2
## CaNiCN (PBE)

Data for a geometry-optimized CaNiCN structure.

The structure belongs to space group P4/nmm (No. 129, origin choice 2); the cell edges are 3.477, 3.477 and 7.423 Å and the angles 90.00°, 90.00° and 90.00°. Symmetry generates all atoms from Ca at (0.250, 0.250, 0.164), Ni at (0.250, 0.750, 0.500), C at (0.250, 0.250, 0.659) and N at (0.250, 0.250, 0.838).

The value obtained for the uncorrected formation energy is -11.12 kcal/mol of atoms.



No. 3
## ReIrN2O (PBE)

Data for a geometry-optimized ReIrN2O structure.

The structure belongs to space group P4/mmm (No. 123); the cell edges are 3.894, 3.894 and 3.888 Å and the angles 90.00°, 90.00° and 90.00°. Symmetry generates all atoms from Re at (0.000, 0.000, 0.000), Ir at (0.500, 0.500, 0.500), N at (0.000, 0.500, 0.500) and O at (0.500, 0.500, 0.000).

The value obtained for the uncorrected formation energy is 35.77 kcal/mol of atoms.



No. 4
## AcCu3Si2 (PBE)

Data for a geometry-optimized AcCu3Si2 structure.

The structure belongs to space group C2/m (No. 12); the cell edges are 16.285, 4.080 and 6.673 Å and the angles 90.00°, 90.96° and 90.00°. Symmetry generates all atoms from Ac at (0.098, 0.000, 0.243), Cu at (0.106, 0.000, 0.739), Cu at (0.181, 0.500, 0.915), Cu at (0.203, 0.500, 0.557), Si at (0.053, 0.500, 0.632) and Si at (0.249, 0.000, 0.775).

The value obtained for the uncorrected formation energy is -7.04 kcal/mol of atoms. For the energy above the most stable polymorph in this dataset, the calculation gives 0.073 eV per atom.



No. 5
## Pr4Ga3Ir (PBE)

Data for a geometry-optimized Pr4Ga3Ir structure.

The structure belongs to space group Pmm2 (No. 25); the cell edges are 4.304, 4.393 and 11.006 Å and the angles 90.00°, 90.00° and 90.00°. Symmetry generates all atoms from Pr at (0.000, 0.000, 0.000), Pr at (0.000, 0.500, 0.480), Pr at (0.500, 0.000, 0.702), Pr at (0.500, 0.500, 0.207), Ga at (0.000, 0.500, 0.775), Ga at (0.500, 0.000, 0.412), Ga at (0.500, 0.500, 0.918) and Ir at (0.000, 0.000, 0.274).

The energy relative to the elements comes out at -0.598 eV/atom.



No. 6
## Nd2CF (PBE)

Data for a geometry-optimized Nd2CF structure.

The structure belongs to space group R-3m (No. 166, hexagonal axes); the cell edges are 3.7044, 3.7044 and 18.8013 Å and the angles 90.00°, 90.00° and 120.00°. Symmetry generates all atoms from Nd at (0.0000, 0.0000, 0.2407), C at (0.0000, 0.0000, 0.5000) and F at (0.0000, 0.0000, 0.0000).

The value obtained for the uncorrected formation energy is -33.70 kcal/mol of atoms. For the energy above the most stable polymorph in this dataset, the calculation gives 0.000 eV per atom.



No. 7
## PrNd4Sm6 (PBE)

Data for a geometry-optimized PrNd4Sm6 structure.

The structure belongs to space group P-6m2 (No. 187); the cell edges are 11.1502, 11.1502 and 3.6429 Å and the angles 90.00°, 90.00° and 120.00°. Symmetry generates all atoms from Pr at (0.0000, 0.0000, 0.0000), Nd at (0.3254, 0.1627, 0.5000), Nd at (0.3333, 0.6667, 0.0000), Sm at (0.1834, 0.3669, 0.5000) and Sm at (0.5220, 0.0439, 0.0000).

For the energy above the most stable polymorph in this dataset, the calculation gives 0.000 eV per atom. The energy relative to the elements comes out at 0.155 eV/atom.



No. 8
## TiCuAs2 (PBE)

Data for a geometry-optimized TiCuAs2 structure.

The structure belongs to space group R-3m (No. 166, hexagonal axes); the cell edges are 3.7243, 3.7243 and 17.4853 Å and the angles 90.00°, 90.00° and 120.00°. Symmetry generates all atoms from Ti at (0.0000, 0.0000, 0.0000), Cu at (0.0000, 0.0000, 0.5000) and As at (0.0000, 0.0000, 0.2486).

The energy relative to the elements comes out at -0.195 eV/atom.



| no. | final energy (eV/atom) |
| --- | --- |
| 1 | -4.24 |
| 2 | -6.82 |
| 3 | -7.03 |
| 4 | -4.85 |
| 5 | -5.23 |
| 6 | -6.62 |
| 7 | -4.59 |
| 8 | -5.52 |